First-principles (PBE) data for a relaxed Sm2GaSi2 crystal, as listed in Alexandria via LeMat-Bulk.

a = 4.0682 Å, b = 4.0257 Å, c = 6.9570 Å
α = 106.82°, β = 90.00°, γ = 90.00°
Atoms (fractional coordinates):
Ga1 0.5000 0.1111 0.2221
Si1 0.5000 0.3108 0.6215
Si2 0.5000 0.5037 0.0074
Sm1 0.0000 0.6858 0.3716
Sm2 0.0000 0.9308 0.8616

Computed properties:
* total moment: 0.0 μB/f.u.
* energy: -5.247 eV per atom
* D(E_F): 2.28 states/eV/f.u.